# 1
Tb6SmEr2Th: optimized geometry, PBE.

The calculation puts the formation energy at 3.4 kcal/mol of atoms. Its space-group type is C2/c. As for the crystal system: monoclinic.

Lattice parameters (Å, degrees): 9.4178 8.7771 8.7771 115.96 93.06 93.06
Closest atoms and distances in Å follow each position.
Positions (direct):
Tb 0.0597 0.1133 0.7638  7 Tb 3.43-3.73, 1 Er 3.44, 2 Th 3.61-3.68
Tb 0.4403 0.2362 0.8867  7 Tb 3.43-3.73, 1 Er 3.44, 2 Th 3.61-3.68
Tb 0.9403 0.8867 0.2362  7 Tb 3.43-3.73, 1 Er 3.44, 2 Th 3.61-3.68
Tb 0.5597 0.7638 0.1133  7 Tb 3.43-3.73, 1 Er 3.44, 2 Th 3.61-3.68
Tb 0.3168 0.9844 0.4292  2 Tb 3.22-3.56, 1 Er 3.40, 1 Th 3.42, 1 Sm 3.46
Tb 0.1832 0.5708 0.0156  2 Tb 3.22-3.56, 1 Er 3.40, 1 Th 3.42, 1 Sm 3.46
Tb 0.6832 0.0156 0.5708  2 Tb 3.22-3.56, 1 Er 3.40, 1 Th 3.42, 1 Sm 3.46
Tb 0.8168 0.4292 0.9844  2 Tb 3.22-3.56, 1 Er 3.40, 1 Th 3.42, 1 Sm 3.46
Tb 0.1139 0.7067 0.4810  4 Tb 3.22-3.56, 3 Er 3.31-3.45, 2 Sm 3.45-3.47
Tb 0.3861 0.5190 0.2933  4 Tb 3.22-3.56, 3 Er 3.31-3.45, 2 Sm 3.45-3.47
Tb 0.8861 0.2933 0.5190  4 Tb 3.22-3.56, 3 Er 3.31-3.45, 2 Sm 3.45-3.47
Tb 0.6139 0.4810 0.7067  4 Tb 3.22-3.56, 3 Er 3.31-3.45, 2 Sm 3.45-3.47
Sm 0.2500 0.4084 0.5916  6 Tb 3.45-3.47, 2 Er 3.52
Sm 0.7500 0.5916 0.4084  6 Tb 3.45-3.47, 2 Er 3.52
Er 0.4464 0.8006 0.7017  6 Tb 3.31-3.62, 2 Th 3.35-3.50, 1 Sm 3.52
Er 0.0536 0.2983 0.1994  6 Tb 3.31-3.62, 2 Th 3.35-3.50, 1 Sm 3.52
Er 0.5536 0.1994 0.2983  6 Tb 3.31-3.62, 2 Th 3.35-3.50, 1 Sm 3.52
Er 0.9464 0.7017 0.8006  6 Tb 3.31-3.62, 2 Th 3.35-3.50, 1 Sm 3.52
Th 0.2500 0.9656 0.0344  4 Er 3.35-3.50, 6 Tb 3.42-3.68
Th 0.7500 0.0344 0.9656  4 Er 3.35-3.50, 6 Tb 3.42-3.68

=====

# 2
ZnInRh: optimized geometry, PBE.

The calculation puts the formation energy at -5.9 kcal/mol of atoms. Its space-group type is Imm2. As for the crystal system: orthorhombic.

Lattice parameters (Å, degrees): 5.1197 5.1197 5.1197 144.84 139.64 54.58
Closest atoms and distances in Å follow each position.
Positions (direct):
In 0.9960 0.9960 0.0000  5 Zn 2.83-2.91, 5 Rh 2.85-2.93, 2 In 3.09
Rh 0.3185 0.3185 0.0000  4 Zn 2.64, 5 In 2.85-2.93
Zn 0.6855 0.6855 0.0000  4 Rh 2.64, 5 In 2.83-2.91

=====

# 3
TaAgNF2: optimized geometry, PBE.

The formation energy without anion corrections comes out at 0.67 eV/atom. The polymorph energy (0 for the lowest one) comes out at 1832.8 meV per atom. Its space-group type is P4/mmm. As for the crystal system: tetragonal.

Lattice parameters (Å, degrees): 4.0699 4.0699 4.4258 90.00 90.00 90.00
Closest atoms and distances in Å follow each position.
Positions (direct):
N 0.0000 0.0000 0.5000  2 Ag 2.21
F 0.0000 0.5000 0.0000  2 Ag 2.03
F 0.5000 0.0000 0.0000  2 Ag 2.03
Ag 0.0000 0.0000 0.0000  4 F 2.03, 2 N 2.21
Ta 0.5000 0.5000 0.5000  4 N 2.88, 8 F 3.01

=====

# 4
GdYAlIr: optimized geometry, PBE.

The calculation puts the formation energy at -12.4 kcal/mol of atoms. Its space-group type is F-43m. As for the crystal system: cubic.

Lattice parameters (Å, degrees): 5.0001 5.0001 5.0001 60.00 60.00 60.00
Closest atoms and distances in Å follow each position.
Positions (direct):
Gd 0.7500 0.7500 0.7500  4 Ir 3.06, 4 Al 3.06
Y 0.2500 0.2500 0.2500  4 Al 3.06, 4 Ir 3.06
Ir 0.0000 0.0000 0.0000  4 Gd 3.06, 4 Y 3.06
Al 0.5000 0.5000 0.5000  4 Y 3.06, 4 Gd 3.06

=====

# 5
LiBe2Bi: optimized geometry, PBE.

The calculation puts the formation energy at 12.7 kcal/mol of atoms. Its space-group type is I4_1/amd. As for the crystal system: tetragonal.

Lattice parameters (Å, degrees): 4.1172 4.1172 8.7692 76.42 76.42 90.00
Closest atoms and distances in Å follow each position.
Positions (direct):
Be 0.3751 0.1250 0.2500  2 Be 2.06
Be 0.3749 0.6250 0.2500  2 Be 2.06
Be 0.3750 0.6249 0.7500  2 Be 2.06
Be 0.8750 0.6251 0.7500  2 Be 2.06
Bi 0.0000 0.0000 0.0000  4 Li 2.91, 8 Be 3.09
Bi 0.7500 0.2500 0.5000  4 Li 2.91, 8 Be 3.09
Li 0.5000 0.5000 0.0000  4 Be 2.31
Li 0.2500 0.7500 0.5000  4 Be 2.31

=====

# 6
ZnIn2W: optimized geometry, PBE.

The calculation puts the formation energy at 11.1 kcal/mol of atoms. Its space-group type is Pmmm. As for the crystal system: orthorhombic.

Lattice parameters (Å, degrees): 3.1183 4.1129 5.8703 90.00 90.00 90.00
Closest atoms and distances in Å follow each position.
Positions (direct):
In 0.0000 0.0000 0.0006  4 In 2.93-3.12, 4 W 2.97, 4 Zn 2.97
In 0.0000 0.0000 0.4994  4 In 2.93-3.12, 4 W 2.97, 4 Zn 2.97
W 0.5000 0.5000 0.2500  2 Zn 2.94, 8 In 2.97, 2 W 3.12
Zn 0.5000 0.5000 0.7500  2 W 2.94, 8 In 2.97, 2 Zn 3.12

=====

# 7
Nd4Sm5Sc: optimized geometry, PBE.

The calculation puts the formation energy at 4.9 kcal/mol of atoms. The polymorph energy (0 for the lowest one) comes out at 9.0 meV per atom. Its space-group type is C2/m. As for the crystal system: monoclinic.

Lattice parameters (Å, degrees): 5.7583 12.0515 8.0183 134.25 111.04 90.00
Closest atoms and distances in Å follow each position.
Positions (direct):
Nd 0.4423 0.1892 0.8845  1 Sc 2.98, 1 Sm 3.15
Nd 0.1719 0.3669 0.3439  3 Sm 3.47-3.86, 4 Nd 3.58-3.70
Nd 0.5577 0.8108 0.1154  1 Sc 2.98, 1 Sm 3.15
Nd 0.8281 0.6331 0.6561  3 Sm 3.47-3.86, 4 Nd 3.58-3.70
Sm 0.8368 0.2832 0.6736  1 Sc 3.37, 5 Sm 3.40-3.61
Sm 0.8536 0.9537 0.7072  5 Nd 3.34-3.59, 2 Sc 3.40, 3 Sm 3.52-3.63
Sm 0.1464 0.0463 0.2928  5 Nd 3.34-3.59, 2 Sc 3.40, 3 Sm 3.52-3.63
Sm 0.5000 0.5000 0.0000  2 Nd 3.15, 4 Sm 3.40
Sm 0.1632 0.7168 0.3263  1 Sc 3.37, 5 Sm 3.40-3.61
Sc 0.5000 0.0000 0.0000  2 Nd 2.98

=====

# 8
HfTcPt2: optimized geometry, PBE.

The calculation puts the formation energy at -16.8 kcal/mol of atoms. The polymorph energy (0 for the lowest one) comes out at 0.0 meV per atom. Its space-group type is P4/mmm. As for the crystal system: tetragonal.

Lattice parameters (Å, degrees): 4.1097 3.9644 3.9644 90.00 90.00 90.00
Closest atoms and distances in Å follow each position.
Positions (direct):
Hf 0.5000 0.0000 0.0000  4 Tc 2.80, 8 Pt 2.86
Tc 0.5000 0.5000 0.5000  4 Hf 2.80, 8 Pt 2.86
Pt 0.0000 0.0000 0.5000  4 Pt 2.80, 4 Tc 2.86, 4 Hf 2.86
Pt 0.0000 0.5000 0.0000  4 Pt 2.80, 4 Hf 2.86, 4 Tc 2.86

=====

# 9
La3Pm6PrEr2: optimized geometry, PBE.

The calculation puts the formation energy at 0.5 kcal/mol of atoms. Its space-group type is C2/m. As for the crystal system: monoclinic.

Lattice parameters (Å, degrees): 6.3308 6.3308 12.1492 95.01 95.01 120.02
Closest atoms and distances in Å follow each position.
Positions (direct):
La 0.1670 0.8330 0.5000  6 La 3.65-3.66, 6 Pm 3.70-3.71
La 0.8330 0.1670 0.5000  6 La 3.65-3.66, 6 Pm 3.70-3.71
La 0.5000 0.5000 0.5000  6 La 3.65-3.66, 6 Pm 3.70-3.71
Pm 0.9184 0.5835 0.7549  2 Er 3.61, 1 Pr 3.62, 6 Pm 3.65-3.67, 3 La 3.70-3.71
Pm 0.7469 0.7469 0.2452  2 Er 3.61, 1 Pr 3.62, 6 Pm 3.65-3.67, 3 La 3.70-3.71
Pm 0.0816 0.4165 0.2451  2 Er 3.61, 1 Pr 3.62, 6 Pm 3.65-3.67, 3 La 3.70-3.71
Pm 0.5835 0.9184 0.7549  2 Er 3.61, 1 Pr 3.62, 6 Pm 3.65-3.67, 3 La 3.70-3.71
Pm 0.2531 0.2531 0.7548  2 Er 3.61, 1 Pr 3.62, 6 Pm 3.65-3.67, 3 La 3.70-3.71
Pm 0.4165 0.0816 0.2451  2 Er 3.61, 1 Pr 3.62, 6 Pm 3.65-3.67, 3 La 3.70-3.71
Pr 0.0000 0.0000 0.0000  6 Pm 3.62, 6 Er 3.65
Er 0.3333 0.6667 0.0000  6 Pm 3.61, 3 Er 3.65-3.66, 3 Pr 3.65
Er 0.6667 0.3333 0.0000  6 Pm 3.61, 3 Er 3.65-3.66, 3 Pr 3.65